Computed, not measured: a relaxed structure of AcThSn2Au2 at the PBE level of DFT.

Space group: P-3m1
E in eV/atom: -5.080
ρ in g/cm3: 10.96

The structure in CIF format:
```
data_AcThSn2Au2
_chemical_formula_sum 'Ac1 Th1 Sn2 Au2'
_cell_length_a 4.749
_cell_length_b 4.749
_cell_length_c 8.462
_cell_angle_alpha 90.00
_cell_angle_beta 90.00
_cell_angle_gamma 120.00
_symmetry_space_group_name_H-M 'P 1'
_symmetry_Int_Tables_number 1
_symmetry_space_group_name_Hall 'P 1'
loop_
_atom_site_label
_atom_site_fract_x
_atom_site_fract_y
_atom_site_fract_z
_atom_site_occupancy
Ac1 0.000 0.000 0.000 1
Th1 0.000 0.000 0.500 1
Sn1 0.333 0.667 0.750 1
Sn2 0.667 0.333 0.250 1
Au1 0.333 0.667 0.301 1
Au2 0.667 0.333 0.699 1
```